1.
A relaxed CsLaV2As crystal, computed with PBE.

extended XYZ file:
```
5
Lattice="-3.4814 3.1619 0.1888 -3.2358 -3.3173 -4.1109 -1.9972 -2.4089 3.5159" Properties=species:S:1:pos:R:3 pbc="T T T"
La -4.3572 -1.2821 -0.2031
As 0.0000 0.0000 0.0000
Cs -1.6179 -1.6586 -2.0555
V -0.9986 -1.2045 1.7579
V -1.7407 1.5809 0.0944
```

Output
E_tot = -4.81 eV per atom
DOS(E_F) = 8.25 states/eV/f.u.
DFT formation energy = 0.922 eV/atom
symmetry = P4/mmm (123)

2.
A relaxed CsLiAs crystal, computed with PBE.

extended XYZ file:
```
3
Lattice="5.6842 0.0000 0.0000 0.0000 4.5481 0.0000 0.0000 -2.2741 3.9388" Properties=species:S:1:pos:R:3 pbc="T T T"
As 0.9473 0.0000 0.0000
Li 0.9480 0.0000 2.6259
Cs 3.7890 2.2741 1.3129
```

Output
E_tot = -2.72 eV per atom
DOS(E_F) = 4.24 states/eV/f.u.
DFT formation energy = -0.247 eV/atom
symmetry = P-6m2 (187)

3.
A relaxed CsLiAs2 crystal, computed with PBE.

extended XYZ file:
```
4
Lattice="0.9303 -3.5072 4.0349 2.3690 1.6968 4.5776 -2.8791 0.3175 4.5887" Properties=species:S:1:pos:R:3 pbc="T T T"
As 0.3151 -1.1197 9.9009
Li 0.0000 0.0000 0.0000
As 0.1050 -0.3732 3.3003
Cs 0.2101 -0.7465 6.6006
```

Output
E_tot = -2.70 eV per atom
DOS(E_F) = 3.62 states/eV/f.u.
DFT formation energy = 0.321 eV/atom
symmetry = Fm-3m (225)

4.
A relaxed CsLiAs crystal, computed with PBE.

extended XYZ file:
```
6
Lattice="-4.2725 0.7968 -2.2123 -5.9479 -1.4914 6.8610 2.1888 4.3579 -0.1177" Properties=species:S:1:pos:R:3 pbc="T T T"
Li -1.0241 4.5165 -1.1875
As -4.5277 1.7727 6.1047
Cs -2.6526 0.7001 2.1008
Cs -7.0276 -0.3856 3.4987
Li -0.5257 1.6426 -0.1936
As -2.9699 2.8959 -0.6250
```

Output
E_tot = -2.96 eV per atom
DFT formation energy = -0.483 eV/atom
symmetry = P-1 (2)

5.
A relaxed CsLi3As crystal, computed with PBE.

extended XYZ file:
```
5
Lattice="-4.2554 -2.7790 0.8321 2.4430 -2.6365 3.6883 -1.5642 3.4423 3.4967" Properties=species:S:1:pos:R:3 pbc="T T T"
Li -2.1277 -1.3895 0.4161
Cs -1.6883 -0.9866 4.0086
As 0.0000 0.0000 0.0000
Li 1.2215 -1.3183 1.8442
Li -0.7821 1.7211 1.7484
```

Output
E_tot = -2.58 eV per atom
DOS(E_F) = 3.02 states/eV/f.u.
DFT formation energy = -0.336 eV/atom
symmetry = Pm-3m (221)

6.
A relaxed CsLiAs crystal, computed with PBE.

extended XYZ file:
```
6
Lattice="-1.0226 -4.2028 -1.6594 3.3794 0.4180 -3.1413 6.4117 -2.9253 9.9247" Properties=species:S:1:pos:R:3 pbc="T T T"
As 7.9335 -6.1801 4.2964
Cs 5.5713 -3.5363 5.5231
As 0.8349 -0.5300 0.8277
Li -0.5113 -2.1014 -0.8297
Cs 3.1971 -3.1738 -0.3990
Li 1.6897 0.2090 -1.5706
```

Output
E_tot = -2.94 eV per atom
DOS(E_F) = 1.49 states/eV/f.u.
DFT formation energy = -0.465 eV/atom
symmetry = I4/mmm (139)

7.
A relaxed CsLi2As2 crystal, computed with PBE.

extended XYZ file:
```
10
Lattice="-7.8516 1.8584 3.9385 -1.1112 -8.7061 1.8927 1.5435 0.4280 2.8750" Properties=species:S:1:pos:R:3 pbc="T T T"
As -4.9508 0.1461 2.6361
Li -2.3256 -0.1553 3.1553
Li -5.0937 -6.2644 5.5509
As -4.0120 -6.9938 3.1951
Li -6.5338 -1.4390 5.6056
As -1.3264 -3.1449 1.1803
Cs -4.4814 -3.4238 2.9156
As -7.6364 -3.7028 4.6509
Li -0.8855 -4.9807 3.1005
Cs 0.0000 0.0000 0.0000
```

Output
E_tot = -3.03 eV per atom
DOS(E_F) = 2.01 states/eV/f.u.
DFT formation energy = -0.231 eV/atom
symmetry = P4/mbm (127)

8.
A relaxed Cs4LiAs2 crystal, computed with PBE.

extended XYZ file:
```
7
Lattice="-5.9309 1.3073 1.4848 -2.2246 -1.5429 5.6356 0.1373 8.8277 5.9391" Properties=species:S:1:pos:R:3 pbc="T T T"
As -0.5684 6.6269 5.0580
As -7.4499 1.9653 8.0015
Cs -6.3806 5.3000 9.3366
Li 0.0000 0.0000 0.0000
Cs -5.0095 1.1763 5.2808
Cs -3.0087 7.4159 7.7788
Cs -1.6377 3.2922 3.7230
```

Output
E_tot = -2.41 eV per atom
DOS(E_F) = 8.36 states/eV/f.u.
DFT formation energy = -0.322 eV/atom
symmetry = R-3m (166)

9.
A relaxed Cs2LiAs2 crystal, computed with PBE.

extended XYZ file:
```
10
Lattice="7.5698 0.0000 0.0000 0.0000 7.5698 0.0000 0.0000 0.0000 5.9309" Properties=species:S:1:pos:R:3 pbc="T T T"
As 6.7052 4.6495 0.0000
As 4.6495 0.8646 0.0000
Cs 6.2459 2.4609 2.9655
As 0.8646 2.9203 0.0000
Li 0.0000 0.0000 0.0000
Cs 1.3240 5.1089 2.9655
Cs 2.4609 1.3240 2.9655
Cs 5.1089 6.2459 2.9655
As 2.9203 6.7052 0.0000
Li 3.7849 3.7849 0.0000
```

Output
E_tot = -2.85 eV per atom
DOS(E_F) = 3.72 states/eV/f.u.
DFT formation energy = -0.267 eV/atom
symmetry = P4/mbm (127)

10.
A relaxed Cs2LiAs2 crystal, computed with PBE.

extended XYZ file:
```
10
Lattice="7.5051 0.0000 0.0000 -3.7526 5.3413 0.4570 0.0000 -1.6238 8.7040" Properties=species:S:1:pos:R:3 pbc="T T T"
As 2.4905 2.9264 4.5490
Cs 4.8172 0.5021 5.6631
Li 0.4389 -1.2179 6.5280
Cs 1.0647 2.4034 7.8499
Cs -1.0647 3.2153 3.4979
As 6.2430 1.6029 0.2601
Li 7.0662 -0.4060 2.1760
Cs 2.6879 1.3141 1.3111
As -2.4905 2.1145 8.9010
As 1.2621 0.7910 4.6121
```

Output
E_tot = -2.90 eV per atom
DOS(E_F) = 4.54 states/eV/f.u.
DFT formation energy = -0.318 eV/atom
symmetry = C2/c (15)

11.
A relaxed CsLi2As2 crystal, computed with PBE.

extended XYZ file:
```
10
Lattice="8.6587 0.0000 0.0000 0.0000 8.6587 0.0000 0.0000 0.0000 3.1634" Properties=species:S:1:pos:R:3 pbc="T T T"
As 7.5581 3.2288 1.5817
As 3.2288 1.1006 1.5817
As 5.4299 7.5581 1.5817
Li 7.5396 5.4484 0.0000
Cs 0.0000 0.0000 0.0000
Li 3.2103 7.5396 0.0000
As 1.1006 5.4299 1.5817
Li 5.4484 1.1190 0.0000
Li 1.1190 3.2103 0.0000
Cs 4.3293 4.3293 0.0000
```

Output
E_tot = -3.09 eV per atom
DOS(E_F) = 1.23 states/eV/f.u.
DFT formation energy = -0.293 eV/atom
symmetry = P4/mbm (127)

12.
A relaxed CsLi2As2 crystal, computed with PBE.

extended XYZ file:
```
5
Lattice="-0.6082 4.4505 -2.2461 -2.9339 1.5098 3.7861 2.1472 4.7016 3.1198" Properties=species:S:1:pos:R:3 pbc="T T T"
As -0.5976 7.2540 3.3058
Li -1.2789 4.5958 3.8379
Li -0.1160 6.0661 0.8218
Cs 0.0000 0.0000 0.0000
As -0.7973 3.4080 1.3539
```

Output
E_tot = -3.26 eV per atom
DOS(E_F) = 3.35 states/eV/f.u.
DFT formation energy = -0.468 eV/atom
symmetry = I4/mmm (139)

13.
A relaxed Cs5Li3As3 crystal, computed with PBE.

extended XYZ file:
```
11
Lattice="-4.4457 -0.9147 -1.8795 4.2033 -8.8129 -5.6532 -4.1100 -1.4168 10.4112" Properties=species:S:1:pos:R:3 pbc="T T T"
As -0.6870 -3.6775 -3.0054
Li 1.5388 -3.2264 -2.0696
As -2.1636 -6.9492 2.0797
Cs 0.8403 -6.8796 -5.0594
Cs -5.2179 -1.4898 6.6473
Li -1.5047 -0.5187 3.8116
As -3.7246 -0.9750 2.8645
Cs -0.7906 -6.8049 -1.2381
Cs -3.5617 -4.3395 4.1167
Li 0.0591 -6.4846 3.0161
Cs -2.1975 -3.2324 0.3510
```

Output
E_tot = -2.52 eV per atom
DOS(E_F) = 9.64 states/eV/f.u.
DFT formation energy = -0.345 eV/atom
symmetry = P-62m (189)

14.
A relaxed CsLi3As crystal, computed with PBE.

extended XYZ file:
```
5
Lattice="5.1930 0.0000 0.0000 0.0000 5.1930 0.0000 0.0000 0.0000 5.1930" Properties=species:S:1:pos:R:3 pbc="T T T"
Li 2.5965 0.0000 0.0000
Li 0.0000 2.5965 0.0000
Li 0.0000 0.0000 2.5965
Cs 0.0000 0.0000 0.0000
As 2.5965 2.5965 2.5965
```

Output
E_tot = -1.37 eV per atom
DOS(E_F) = 4.39 states/eV/f.u.
DFT formation energy = 0.876 eV/atom
symmetry = Pm-3m (221)

15.
A relaxed CsLi2As crystal, computed with PBE.

extended XYZ file:
```
4
Lattice="4.5242 0.0000 0.0000 2.2621 3.9181 0.0000 2.2621 1.3060 6.3202" Properties=species:S:1:pos:R:3 pbc="T T T"
Li 2.2621 1.3060 2.9151
As 4.5242 2.6121 3.1601
Cs 0.0000 0.0000 0.0000
Li 6.7864 3.9181 3.4050
```

Output
E_tot = -2.91 eV per atom
DOS(E_F) = 0.02 states/eV/f.u.
DFT formation energy = -0.577 eV/atom
symmetry = R-3m (166)

16.
A relaxed CsLi2As crystal, computed with PBE.

extended XYZ file:
```
8
Lattice="-1.1112 5.1579 -2.9100 -5.6592 -0.0523 2.0682 -1.1969 6.4581 5.6656" Properties=species:S:1:pos:R:3 pbc="T T T"
Li -5.4102 9.3240 2.9968
Li -4.2523 3.5131 1.6194
Li -1.4239 3.5451 0.5821
As -5.1206 4.4792 3.6565
Cs -2.8466 7.0844 1.1674
Cs 0.0000 0.0000 0.0000
Li -4.8482 6.7451 4.4494
As -3.3852 2.5528 -0.4209
```

Output
E_tot = -2.78 eV per atom
DOS(E_F) = 0.00 states/eV/f.u.
DFT formation energy = -0.447 eV/atom
symmetry = I4_1/amd (141)

17.
A relaxed Cs3LiAs crystal, computed with PBE.

extended XYZ file:
```
5
Lattice="-0.8793 -1.7476 -6.8518 3.5374 -6.0872 1.0986 -6.1227 -3.2659 1.6188" Properties=species:S:1:pos:R:3 pbc="T T T"
Cs 1.7687 -3.0436 0.5493
Cs -3.0613 -1.6330 0.8094
Cs -0.4397 -0.8738 -3.4259
As 0.0000 0.0000 0.0000
Li -1.7323 -5.5503 -2.0672
```

Output
E_tot = -1.79 eV per atom
DOS(E_F) = 6.21 states/eV/f.u.
DFT formation energy = 0.032 eV/atom
symmetry = Pm-3m (221)

18.
A relaxed Cs2LiMnAs2 crystal, computed with PBE.

extended XYZ file:
```
12
Lattice="6.5686 0.0000 0.0000 0.0000 6.4976 0.0000 -3.2843 -3.2488 8.6942" Properties=species:S:1:pos:R:3 pbc="T T T"
As 1.8148 3.2488 1.2399
Mn 3.2843 1.6244 0.0000
Cs 1.7727 3.2488 5.8110
Cs 5.0570 3.2488 2.8832
As 4.7539 0.0000 1.2399
Li 0.0000 1.6244 0.0000
Li 0.0000 4.8732 0.0000
As -1.4695 3.2488 7.4543
Cs 1.5116 0.0000 2.8832
As 1.4695 0.0000 7.4543
Mn 3.2843 4.8732 0.0000
Cs -1.7727 0.0000 5.8110
```

Output
E_tot = -4.12 eV per atom
DOS(E_F) = 1.20 states/eV/f.u.
DFT formation energy = -0.435 eV/atom
symmetry = Ibam (72)

19.
A relaxed Cs2NaLiAs crystal, computed with PBE.

extended XYZ file:
```
5
Lattice="-6.6720 2.8091 -1.0708 -1.7268 -5.7147 -4.2325 -1.6483 -2.4154 3.9338" Properties=species:S:1:pos:R:3 pbc="T T T"
Li -0.8242 -1.2077 1.9669
Cs -0.8634 -2.8573 -2.1163
As 0.0000 0.0000 0.0000
Cs -3.3360 1.4046 -0.5354
Na -5.0236 -2.6605 -0.6848
```

Output
E_tot = -2.06 eV per atom
DOS(E_F) = 5.50 states/eV/f.u.
DFT formation energy = -0.139 eV/atom
symmetry = P4/mmm (123)

20.
A relaxed CsNaLiAs2 crystal, computed with PBE.

extended XYZ file:
```
5
Lattice="-4.3620 -1.7981 -3.6233 -3.4162 -0.8169 4.5180 -1.9367 5.6066 -0.4508" Properties=species:S:1:pos:R:3 pbc="T T T"
As -0.9684 2.8033 -0.2254
Na -1.7081 -0.4084 2.2590
Cs 0.0000 0.0000 0.0000
As -2.1810 -0.8991 -1.8117
Li -4.8575 1.4958 0.2220
```

Output
E_tot = -1.81 eV per atom
DOS(E_F) = 3.19 states/eV/f.u.
DFT formation energy = 0.865 eV/atom
symmetry = P4/mmm (123)

21.
A relaxed CsNa2LiAs crystal, computed with PBE.

extended XYZ file:
```
5
Lattice="5.8957 0.0000 0.0000 0.0000 5.8957 0.0000 0.0000 0.0000 5.1783" Properties=species:S:1:pos:R:3 pbc="T T T"
Na 0.0000 2.9479 0.0000
Cs 2.9479 2.9479 2.5891
Li 0.0000 0.0000 2.5891
Na 2.9479 0.0000 0.0000
As 0.0000 0.0000 0.0000
```

Output
E_tot = -2.26 eV per atom
DOS(E_F) = 2.40 states/eV/f.u.
DFT formation energy = -0.252 eV/atom
symmetry = P4/mmm (123)

22.
A relaxed CsLiAs2P crystal, computed with PBE.

extended XYZ file:
```
5
Lattice="5.1129 0.0000 0.0000 0.0000 5.0446 0.0000 0.0000 0.0000 5.1129" Properties=species:S:1:pos:R:3 pbc="T T T"
Li 0.0000 2.5223 0.0000
Cs 2.5565 2.5223 2.5565
As 0.0000 0.0000 2.5565
As 2.5565 0.0000 0.0000
P 0.0000 0.0000 0.0000
```

Output
E_tot = -3.44 eV per atom
DOS(E_F) = 4.26 states/eV/f.u.
DFT formation energy = 0.050 eV/atom
symmetry = P4/mmm (123)

23.
A relaxed CsLi2AsPd crystal, computed with PBE.

extended XYZ file:
```
5
Lattice="5.0357 0.0000 0.0000 0.0000 5.0357 0.0000 0.0000 0.0000 5.0046" Properties=species:S:1:pos:R:3 pbc="T T T"
Li 0.0000 2.5179 0.0000
Li 2.5179 0.0000 0.0000
As 0.0000 0.0000 0.0000
Cs 2.5179 2.5179 2.5023
Pd 0.0000 0.0000 2.5023
```

Output
E_tot = -3.28 eV per atom
DOS(E_F) = 1.01 states/eV/f.u.
DFT formation energy = -0.371 eV/atom
symmetry = P4/mmm (123)

24.
A relaxed CsLiAsPd crystal, computed with PBE.

extended XYZ file:
```
4
Lattice="-0.1994 2.8756 -3.3048 -3.8915 1.2319 -1.6028 -1.5763 6.3294 2.6930" Properties=species:S:1:pos:R:3 pbc="T T T"
Li -4.0955 4.2155 -4.8133
As -2.7560 3.4090 -2.6864
Cs -4.2094 6.8718 -2.4951
Pd -1.3866 1.9055 -1.1678
```

Output
E_tot = -3.65 eV per atom
DOS(E_F) = 1.64 states/eV/f.u.
DFT formation energy = -0.499 eV/atom
symmetry = R3m (160)

25.
A relaxed CsLiAs2Pd crystal, computed with PBE.

extended XYZ file:
```
5
Lattice="5.6776 0.0000 0.0000 0.0000 4.9685 0.0000 0.0000 0.0000 5.6776" Properties=species:S:1:pos:R:3 pbc="T T T"
Li 0.0000 2.4843 0.0000
As 0.0000 0.0000 2.8388
Pd 2.8388 2.4843 2.8388
As 2.8388 0.0000 0.0000
Cs 0.0000 0.0000 0.0000
```

Output
E_tot = -1.99 eV per atom
DOS(E_F) = 3.36 states/eV/f.u.
DFT formation energy = 1.462 eV/atom
symmetry = P4/mmm (123)

26.
A relaxed CsRb2LiAs crystal, computed with PBE.

extended XYZ file:
```
5
Lattice="-6.9614 1.2108 0.6189 0.3215 -1.6716 6.8857 0.9559 4.9097 1.1473" Properties=species:S:1:pos:R:3 pbc="T T T"
Rb -3.4807 0.6054 0.3095
As 0.0000 0.0000 0.0000
Li 0.4780 2.4549 0.5736
Rb 0.1607 -0.8358 3.4429
Cs -2.8420 2.2245 4.3260
```

Output
E_tot = -2.04 eV per atom
DOS(E_F) = 1.44 states/eV/f.u.
DFT formation energy = -0.171 eV/atom
symmetry = P4/mmm (123)

27.
A relaxed CsRbLiAs crystal, computed with PBE.

extended XYZ file:
```
4
Lattice="4.8718 0.0000 0.0000 -2.4359 4.2184 -0.0035 0.0000 -2.8077 8.6713" Properties=species:S:1:pos:R:3 pbc="T T T"
Cs 2.4359 -0.3978 5.3048
Rb 2.4359 2.4137 0.9350
Li 0.0000 1.0107 7.5827
As 0.0000 -1.8018 7.5659
```

Output
E_tot = -2.46 eV per atom
DOS(E_F) = 1.41 states/eV/f.u.
DFT formation energy = -0.367 eV/atom
symmetry = R3m (160)